Entry 1:
The following is a PBE-GGA calculation of crystalline TiNb3F at its relaxed geometry, from the Alexandria database.

Theoretical density, g/cm3: 6.923
Relative energy among the computed polymorphs, meV per atom: 0
Uncorrected formation energy, eV per formula unit: -0.11

Unit cell a=4.3602 b=4.3602 c=4.3602 alpha=90.00 beta=90.00 gamma=90.00
Fractional coordinates of all 5 atoms:
Nb (0.0000, 0.5000, 0.0000)
Nb (0.0000, 0.0000, 0.5000)
Nb (0.5000, 0.0000, 0.0000)
Ti (0.5000, 0.5000, 0.5000)
F (0.0000, 0.0000, 0.0000)

Entry 2:
The following is a PBE-GGA calculation of crystalline B4C at its relaxed geometry, from the Alexandria database.

Theoretical density, g/cm3: 1.980
ΔE_f, eV/atom: 0.80
Relative energy among the computed polymorphs, meV per atom: 903

Unit cell a=5.1816 b=5.1816 c=5.1816 alpha=91.18 beta=91.18 gamma=91.18
Fractional coordinates of all 15 atoms:
B (0.0383, 0.3862, 0.3862)
B (0.3862, 0.3862, 0.0383)
B (0.9219, 0.1624, 0.1624)
B (0.6138, 0.9617, 0.6138)
B (0.8376, 0.0781, 0.8376)
B (0.0781, 0.8376, 0.8376)
B (0.1624, 0.1624, 0.9219)
B (0.1624, 0.9219, 0.1624)
B (0.8376, 0.8376, 0.0781)
B (0.3862, 0.0383, 0.3862)
B (0.9617, 0.6138, 0.6138)
B (0.6138, 0.6138, 0.9617)
C (0.6494, 0.6494, 0.6494)
C (0.3506, 0.3506, 0.3506)
C (0.5000, 0.5000, 0.5000)

Entry 3:
The following is a PBE-GGA calculation of crystalline NaLi6Hg2 at its relaxed geometry, from the Alexandria database.

Theoretical density, g/cm3: 4.506
ΔE_f, eV/atom: -0.21
Relative energy among the computed polymorphs, meV per atom: 0

Unit cell a=4.7402 b=4.7402 c=8.8223 alpha=90.00 beta=90.00 gamma=120.00
Fractional coordinates of all 9 atoms:
Li (0.6667, 0.3333, 0.9417)
Li (0.3333, 0.6667, 0.3776)
Li (0.0000, 0.0000, 0.1673)
Li (0.0000, 0.0000, 0.8327)
Li (0.3333, 0.6667, 0.0583)
Li (0.6667, 0.3333, 0.6224)
Na (0.0000, 0.0000, 0.5000)
Hg (0.6667, 0.3333, 0.2619)
Hg (0.3333, 0.6667, 0.7381)

Entry 4:
The following is a PBE-GGA calculation of crystalline BaAg2As at its relaxed geometry, from the Alexandria database.

Theoretical density, g/cm3: 6.782
ΔE_f, eV/atom: 0.02

Unit cell a=3.9273 b=3.9273 c=6.7939 alpha=90.00 beta=90.00 gamma=90.00
Fractional coordinates of all 4 atoms:
Ba (0.5000, 0.5000, 0.7500)
As (0.5000, 0.5000, 0.2500)
Ag (0.0000, 0.0000, 0.4503)
Ag (0.0000, 0.0000, 0.0497)

Entry 5:
The following is a PBE-GGA calculation of crystalline KIr2PtO8 at its relaxed geometry, from the Alexandria database.

Theoretical density, g/cm3: 6.092
Uncorrected formation energy, eV per formula unit: -6.48

Unit cell a=5.0325 b=5.0325 c=9.2781 alpha=90.00 beta=90.00 gamma=120.00
Fractional coordinates of all 12 atoms:
Pt (0.0000, 0.0000, 0.5000)
O (0.3333, 0.6667, 0.9104)
O (0.3340, 0.3274, 0.3739)
O (0.9934, 0.6660, 0.3739)
O (0.0066, 0.3340, 0.6261)
O (0.3274, 0.9934, 0.6261)
O (0.6667, 0.3333, 0.0896)
O (0.6726, 0.0066, 0.3739)
O (0.6660, 0.6726, 0.6261)
K (0.0000, 0.0000, 0.0000)
Ir (0.6667, 0.3333, 0.2815)
Ir (0.3333, 0.6667, 0.7185)

Entry 6:
The following is a PBE-GGA calculation of crystalline BaFeP2 at its relaxed geometry, from the Alexandria database.

Theoretical density, g/cm3: 4.797
ΔE_f, eV/atom: 0.43
Relative energy among the computed polymorphs, meV per atom: 998

Unit cell a=5.3557 b=5.3557 c=3.0788 alpha=90.00 beta=90.00 gamma=90.00
Site moments in Bohr magnetons follow the coordinates.
Fractional coordinates of all 4 atoms:
Ba (0.5000, 0.0000, 0.5000)  0.02
P (0.5000, 0.5000, 0.0000)  0.01
P (0.0000, 0.0000, 0.0000)  0.01
Fe (0.0000, 0.5000, 0.5000)  3.19

Entry 7:
The following is a PBE-GGA calculation of crystalline LaPm2Pd at its relaxed geometry, from the Alexandria database.

Theoretical density, g/cm3: 7.472
ΔE_f, eV/atom: -0.35
Relative energy among the computed polymorphs, meV per atom: 75

Unit cell a=3.6468 b=3.6468 c=8.9456 alpha=90.00 beta=90.00 gamma=90.00
Fractional coordinates of all 4 atoms:
Pm (0.0000, 0.0000, 0.8078)
Pm (0.0000, 0.0000, 0.1922)
Pd (0.5000, 0.5000, 0.0000)
La (0.5000, 0.5000, 0.5000)

Entry 8:
The following is a PBE-GGA calculation of crystalline SrTl at its relaxed geometry, from the Alexandria database.

Theoretical density, g/cm3: 5.947
ΔE_f, eV/atom: -0.11

Unit cell a=12.6222 b=12.6222 c=4.0939 alpha=90.00 beta=90.00 gamma=90.00
Fractional coordinates of all 16 atoms:
Sr (0.3420, 0.1356, 0.0000)
Sr (0.8644, 0.3420, 0.0000)
Sr (0.8420, 0.6356, 0.5000)
Sr (0.1356, 0.6580, 0.0000)
Sr (0.1580, 0.3644, 0.5000)
Sr (0.6356, 0.1580, 0.5000)
Sr (0.3644, 0.8420, 0.5000)
Sr (0.6580, 0.8644, 0.0000)
Tl (0.6584, 0.4321, 0.5000)
Tl (0.5679, 0.6584, 0.5000)
Tl (0.1584, 0.9321, 0.0000)
Tl (0.8416, 0.0679, 0.0000)
Tl (0.9321, 0.8416, 0.0000)
Tl (0.4321, 0.3416, 0.5000)
Tl (0.3416, 0.5679, 0.5000)
Tl (0.0679, 0.1584, 0.0000)

Entry 9:
The following is a PBE-GGA calculation of crystalline Pr2NdHo at its relaxed geometry, from the Alexandria database.

Theoretical density, g/cm3: 7.070
ΔE_f, eV/atom: 0.02
Relative energy among the computed polymorphs, meV per atom: 5

Unit cell a=3.6680 b=3.6680 c=12.0998 alpha=81.28 beta=81.28 gamma=60.00
Fractional coordinates of all 4 atoms:
Pr (0.0818, 0.0818, 0.7547)
Pr (0.2517, 0.2517, 0.2450)
Ho (0.6670, 0.6670, 0.9989)
Nd (0.4996, 0.4996, 0.5013)

Entry 10:
The following is a PBE-GGA calculation of crystalline Ba2TcBr2O4 at its relaxed geometry, from the Alexandria database.

Theoretical density, g/cm3: 5.458
Uncorrected formation energy, eV per formula unit: -15.52

Unit cell a=6.2627 b=6.2627 c=6.2627 alpha=95.93 beta=116.64 gamma=116.64
Site moments in Bohr magnetons follow the coordinates.
Fractional coordinates of all 9 atoms:
O (0.4060, 0.2030, 0.2030)  0.07
O (0.5940, 0.7970, 0.7970)  0.07
O (0.0000, 0.2030, 0.7970)  0.07
O (0.0000, 0.7970, 0.2030)  0.07
Tc (0.0000, 0.0000, 0.0000)  0.62
Ba (0.5000, 0.7500, 0.2500)  0.01
Ba (0.5000, 0.2500, 0.7500)  0.01
Br (0.0000, 0.6929, 0.6929)  -0.01
Br (0.0000, 0.3071, 0.3071)  -0.01

Entry 11:
The following is a PBE-GGA calculation of crystalline Li4Cu5Se6 at its relaxed geometry, from the Alexandria database.

Theoretical density, g/cm3: 5.123
Uncorrected formation energy, eV per formula unit: -8.03

Unit cell a=4.0028 b=9.3790 c=14.4810 alpha=90.00 beta=90.00 gamma=102.32
Fractional coordinates of all 30 atoms:
Li (0.1812, 0.3624, 0.2892)
Li (0.1900, 0.3799, 0.9484)
Li (0.0137, 0.0274, 0.0108)
Li (0.9863, 0.9726, 0.5108)
Li (0.0238, 0.0476, 0.7731)
Li (0.8100, 0.6201, 0.4484)
Li (0.9762, 0.9524, 0.2731)
Li (0.8188, 0.6376, 0.7892)
Cu (0.6382, 0.2763, 0.7608)
Cu (0.8615, 0.7229, 0.1285)
Cu (0.4266, 0.8531, 0.6831)
Cu (0.3618, 0.7237, 0.2608)
Cu (0.1385, 0.2771, 0.6285)
Cu (0.7096, 0.4193, 0.1296)
Cu (0.3569, 0.7138, 0.9893)
Cu (0.2904, 0.5807, 0.6296)
Cu (0.5734, 0.1469, 0.1831)
Cu (0.6431, 0.2862, 0.4893)
Se (0.7828, 0.5655, 0.2710)
Se (0.5616, 0.1232, 0.8973)
Se (0.1299, 0.2598, 0.1136)
Se (0.5703, 0.1406, 0.3489)
Se (0.7821, 0.5642, 0.9875)
Se (0.4384, 0.8768, 0.3973)
Se (0.2172, 0.4345, 0.7710)
Se (0.8701, 0.7402, 0.6136)
Se (0.4461, 0.8921, 0.1244)
Se (0.2179, 0.4358, 0.4875)
Se (0.5539, 0.1079, 0.6244)
Se (0.4297, 0.8594, 0.8489)

Entry 12:
The following is a PBE-GGA calculation of crystalline TiSb at its relaxed geometry, from the Alexandria database.

Theoretical density, g/cm3: 5.086
Uncorrected formation energy, eV per formula unit: -0.43

Unit cell a=9.1928 b=9.1928 c=5.2427 alpha=90.00 beta=90.00 gamma=90.00
Fractional coordinates of all 16 atoms:
Sb (0.2259, 0.6392, 0.5000)
Sb (0.6392, 0.7741, 0.5000)
Sb (0.2741, 0.8608, 0.0000)
Sb (0.3608, 0.2259, 0.5000)
Sb (0.1392, 0.2741, 0.0000)
Sb (0.7741, 0.3608, 0.5000)
Sb (0.7259, 0.1392, 0.0000)
Sb (0.8608, 0.7259, 0.0000)
Ti (0.5931, 0.8839, 0.0000)
Ti (0.4069, 0.1161, 0.0000)
Ti (0.1161, 0.5931, 0.0000)
Ti (0.3839, 0.9069, 0.5000)
Ti (0.8839, 0.4069, 0.0000)
Ti (0.9069, 0.6161, 0.5000)
Ti (0.0931, 0.3839, 0.5000)
Ti (0.6161, 0.0931, 0.5000)

Entry 13:
The following is a PBE-GGA calculation of crystalline Pm3CdAg5 at its relaxed geometry, from the Alexandria database.

Theoretical density, g/cm3: 8.381
ΔE_f, eV/atom: -0.23

Unit cell a=6.2090 b=8.9467 c=8.9500 alpha=119.99 beta=90.00 gamma=90.00
Fractional coordinates of all 18 atoms:
Pm (0.2500, 0.3480, 0.0000)
Pm (0.7500, 0.3479, 0.3479)
Pm (0.2500, 0.0001, 0.3479)
Pm (0.7500, 0.6520, 0.0000)
Pm (0.7500, 0.9999, 0.6521)
Pm (0.2500, 0.6521, 0.6521)
Ag (0.7500, 0.9998, 0.3174)
Ag (0.0000, 0.6667, 0.3333)
Ag (0.0000, 0.3333, 0.6667)
Ag (0.7500, 0.3173, 0.0000)
Ag (0.2500, 0.3176, 0.3174)
Ag (0.7500, 0.6824, 0.6826)
Ag (0.2500, 0.0002, 0.6826)
Ag (0.5000, 0.6667, 0.3333)
Ag (0.5000, 0.3333, 0.6667)
Ag (0.2500, 0.6827, 0.0000)
Cd (0.0000, 0.0000, 0.0000)
Cd (0.5000, 0.0000, 0.0000)

Entry 14:
The following is a PBE-GGA calculation of crystalline K3Hf3TiSe8 at its relaxed geometry, from the Alexandria database.

Theoretical density, g/cm3: 5.529
Uncorrected formation energy, eV per formula unit: -19.68

Unit cell a=7.6335 b=7.6364 c=9.0713 alpha=114.91 beta=90.00 gamma=120.01
Site moments in Bohr magnetons follow the coordinates.
Fractional coordinates of all 15 atoms:
Se (0.7690, 0.0357, 0.3048)  0.00
Se (0.2666, 0.5330, 0.2996)  0.00
Se (0.2669, 0.0358, 0.3048)  0.00
Se (0.2310, 0.9643, 0.6952)  0.00
Se (0.7331, 0.9642, 0.6952)  0.00
Se (0.2309, 0.4618, 0.6950)  0.00
Se (0.7334, 0.4670, 0.7004)  0.00
Se (0.7691, 0.5382, 0.3050)  0.00
Ti (0.0000, 0.0000, 0.5000)  0.94
Hf (0.0000, 0.5000, 0.5000)  0.02
Hf (0.5000, 0.5000, 0.5000)  0.03
Hf (0.5000, 0.0000, 0.5000)  0.01
K (0.0000, 0.5000, 0.0000)  0.00
K (0.0000, 0.0000, 0.0000)  0.00
K (0.5000, 0.5000, 0.0000)  0.00

Entry 15:
The following is a PBE-GGA calculation of crystalline Li2Hg13 at its relaxed geometry, from the Alexandria database.

Theoretical density, g/cm3: 9.434
ΔE_f, eV/atom: -0.02
Relative energy among the computed polymorphs, meV per atom: 46

Unit cell a=7.7275 b=7.7275 c=7.7275 alpha=89.69 beta=89.69 gamma=89.69
Fractional coordinates of all 15 atoms:
Hg (0.3129, 0.0294, 0.0294)
Hg (0.7490, 0.7490, 0.3296)
Hg (0.9706, 0.9706, 0.6871)
Hg (0.2510, 0.6704, 0.2510)
Hg (0.3296, 0.7490, 0.7490)
Hg (0.7490, 0.3296, 0.7490)
Hg (0.6871, 0.9706, 0.9706)
Hg (0.6704, 0.2510, 0.2510)
Hg (0.9706, 0.6871, 0.9706)
Hg (0.2510, 0.2510, 0.6704)
Hg (0.0294, 0.3129, 0.0294)
Hg (0.5000, 0.5000, 0.5000)
Hg (0.0294, 0.0294, 0.3129)
Li (0.2910, 0.2910, 0.2910)
Li (0.7090, 0.7090, 0.7090)

Entry 16:
The following is a PBE-GGA calculation of crystalline TbMoW at its relaxed geometry, from the Alexandria database.

Theoretical density, g/cm3: 11.534
ΔE_f, eV/atom: 0.51

Unit cell a=5.0113 b=5.4908 c=10.6181 alpha=83.82 beta=76.35 gamma=62.85
Fractional coordinates of all 12 atoms:
Mo (0.1615, 0.5000, 0.6770)
Mo (0.4115, 0.0000, 0.1770)
Mo (0.3385, 0.5000, 0.3230)
Mo (0.5885, 0.0000, 0.8230)
W (0.6257, 0.5000, 0.7487)
W (0.8743, 0.5000, 0.2513)
W (0.8757, 0.0000, 0.2487)
W (0.1243, 0.0000, 0.7513)
Tb (0.1592, 0.6816, 0.0000)
Tb (0.8408, 0.3184, 0.0000)
Tb (0.5908, 0.8184, 0.5000)
Tb (0.9092, 0.1816, 0.5000)

Entry 17:
The following is a PBE-GGA calculation of crystalline LaCeN at its relaxed geometry, from the Alexandria database.

Theoretical density, g/cm3: 8.210
Relative energy among the computed polymorphs, meV per atom: 406
Uncorrected formation energy, eV per formula unit: -1.38

Unit cell a=4.3763 b=4.3763 c=4.3763 alpha=60.00 beta=60.00 gamma=60.00
Site moments in Bohr magnetons follow the coordinates.
Fractional coordinates of all 3 atoms:
La (0.0000, 0.0000, 0.0000)  0.04
Ce (0.5000, 0.5000, 0.5000)  0.43
N (0.2500, 0.2500, 0.2500)  -0.02

Entry 18:
The following is a PBE-GGA calculation of crystalline AcCeEu at its relaxed geometry, from the Alexandria database.

Theoretical density, g/cm3: 7.452
ΔE_f, eV/atom: 0.13
Relative energy among the computed polymorphs, meV per atom: 0

Unit cell a=3.8051 b=3.8051 c=8.4295 alpha=103.04 beta=103.04 gamma=90.00
Site moments in Bohr magnetons follow the coordinates.
Fractional coordinates of all 3 atoms:
Ce (0.6654, 0.6654, 0.3308)  0.91
Eu (0.3257, 0.3257, 0.6514)  7.01
Ac (0.0089, 0.0089, 0.0178)  -0.04

Entry 19:
The following is a PBE-GGA calculation of crystalline Cd3RuCl at its relaxed geometry, from the Alexandria database.

Theoretical density, g/cm3: 5.396
Relative energy among the computed polymorphs, meV per atom: 0
Uncorrected formation energy, eV per formula unit: 2.25

Unit cell a=5.2631 b=5.2631 c=5.2631 alpha=90.00 beta=90.00 gamma=90.00
Site moments in Bohr magnetons follow the coordinates.
Fractional coordinates of all 5 atoms:
Cd (0.0000, 0.5000, 0.0000)  0.01
Cd (0.0000, 0.0000, 0.5000)  0.01
Cd (0.5000, 0.0000, 0.0000)  0.00
Cl (0.5000, 0.5000, 0.5000)  0.01
Ru (0.0000, 0.0000, 0.0000)  1.04

Entry 20:
The following is a PBE-GGA calculation of crystalline ScZn2Cu3 at its relaxed geometry, from the Alexandria database.

Theoretical density, g/cm3: 6.892
ΔE_f, eV/atom: -0.19
Relative energy among the computed polymorphs, meV per atom: 0

Unit cell a=4.2195 b=4.2195 c=11.4508 alpha=90.00 beta=90.00 gamma=120.00
Fractional coordinates of all 12 atoms:
Cu (0.3333, 0.6667, 0.1351)
Cu (0.6667, 0.3333, 0.6351)
Cu (0.3333, 0.6667, 0.3649)
Cu (0.0000, 0.0000, 0.0000)
Cu (0.6667, 0.3333, 0.8649)
Cu (0.0000, 0.0000, 0.5000)
Sc (0.0000, 0.0000, 0.2500)
Sc (0.0000, 0.0000, 0.7500)
Zn (0.3333, 0.6667, 0.5866)
Zn (0.3333, 0.6667, 0.9134)
Zn (0.6667, 0.3333, 0.4134)
Zn (0.6667, 0.3333, 0.0866)

Entry 21:
The following is a PBE-GGA calculation of crystalline Sc3TaRu at its relaxed geometry, from the Alexandria database.

Theoretical density, g/cm3: 5.968
ΔE_f, eV/atom: 0.47
Relative energy among the computed polymorphs, meV per atom: 0

Unit cell a=4.8771 b=4.8771 c=4.8771 alpha=90.00 beta=90.00 gamma=90.00
Fractional coordinates of all 5 atoms:
Sc (0.0000, 0.5000, 0.0000)
Sc (0.0000, 0.0000, 0.5000)
Sc (0.5000, 0.0000, 0.0000)
Ta (0.5000, 0.5000, 0.5000)
Ru (0.0000, 0.0000, 0.0000)

Entry 22:
The following is a PBE-GGA calculation of crystalline Na3CeSe3 at its relaxed geometry, from the Alexandria database.

Theoretical density, g/cm3: 3.662
Uncorrected formation energy, eV per formula unit: -9.24

Unit cell a=8.5069 b=8.5069 c=8.5069 alpha=56.93 beta=56.93 gamma=56.93
Site moments in Bohr magnetons follow the coordinates.
Fractional coordinates of all 14 atoms:
Na (0.1277, 0.8282, 0.3917)  0.00
Na (0.8282, 0.3917, 0.1277)  0.00
Na (0.8723, 0.1718, 0.6083)  0.00
Na (0.3917, 0.1277, 0.8282)  0.00
Na (0.1718, 0.6083, 0.8723)  0.00
Na (0.6083, 0.8723, 0.1718)  0.00
Se (0.7038, 0.0698, 0.4580)  -0.01
Se (0.2962, 0.9302, 0.5420)  -0.01
Se (0.9302, 0.5420, 0.2962)  -0.01
Se (0.5420, 0.2962, 0.9302)  -0.01
Se (0.0698, 0.4580, 0.7038)  -0.01
Se (0.4580, 0.7038, 0.0698)  -0.01
Ce (0.6665, 0.6665, 0.6665)  0.98
Ce (0.3335, 0.3335, 0.3335)  0.98